No. 1
Below is Sm12Ho7Cd after structural relaxation, with properties calculated at the PBE level.

abc: 11.444 11.444 11.444
angles: 90.00 90.00 90.00
Space group Im-3 (No. 204)
One atom of each set of equivalent atoms:
Sm  0.000  0.239  0.239 x24
Ho  0.000  0.000  0.500 x6
Ho  0.250  0.250  0.250 x8
Cd  0.000  0.000  0.000 x2

Computed properties:
As for the density of states at the Fermi level: 28.12 states/eV/f.u. The formation energy is 13.8 eV/f.u.

No. 2
Below is Mn2NbPt2 after structural relaxation, with properties calculated at the PBE level.

abc: 7.374 7.374 2.678
angles: 90.00 90.00 90.00
Space group P4/mbm (No. 127)
One atom of each set of equivalent atoms:
Mn  0.170  0.330  0.000 x4
Nb  0.000  0.000  0.500 x2
Pt  0.129  0.629  0.500 x4

Computed properties:
As for the density of states at the Fermi level: 12.07 states/eV/f.u. The energy relative to the lowest polymorph listed for this composition is 14.9 kJ/mol of atoms. The formation energy is 0.0 eV/f.u.

No. 3
Below is Tl3TcI6Cl2 after structural relaxation, with properties calculated at the PBE level.

abc: 16.433 8.709 7.131
angles: 90.00 101.29 90.00
Space group C2/m (No. 12)
One atom of each set of equivalent atoms:
Tl  0.000  0.000  0.000 x2
Tl  0.250  0.250  0.500 x4
Tc  0.000  0.500  0.500 x2
I  0.090  0.278  0.723 x8
I  0.110  0.500  0.257 x4
Cl  0.169  0.000  0.248 x4

Computed properties:
As for the density of states at the Fermi level: 6.87 states/eV/f.u. The formation energy without anion corrections is -415 meV per atom.

No. 4
Below is NaRu2WBr after structural relaxation, with properties calculated at the PBE level.

abc: 4.628 4.628 4.631
angles: 90.00 90.00 90.00
Space group P4/mmm (No. 123)
One atom of each set of equivalent atoms:
Na  0.000  0.000  0.000 x1
Ru  0.000  0.500  0.500 x2
W  0.500  0.500  0.000 x1
Br  0.500  0.500  0.500 x1

Computed properties:
As for the density of states at the Fermi level: 6.45 states/eV/f.u. The formation energy without anion corrections is 1685 meV per atom.

No. 5
Below is K4Ag3Br12 after structural relaxation, with properties calculated at the PBE level.

abc: 11.686 11.686 11.686
angles: 90.00 90.00 90.00
Space group Im-3 (No. 204)
One atom of each set of equivalent atoms:
K  0.250  0.250  0.250 x8
Ag  0.000  0.000  0.500 x6
Br  0.000  0.153  0.346 x24

Computed properties:
As for the density of states at the Fermi level: 9.60 states/eV/f.u. The formation energy without anion corrections is -787 meV per atom.

No. 6
Below is Y3Ho2Er6Th after structural relaxation, with properties calculated at the PBE level.

abc: 6.126 10.604 11.718
angles: 90.00 100.04 90.00
Space group C2/m (No. 12)
One atom of each set of equivalent atoms:
Y  0.000  0.000  0.000 x2
Y  0.000  0.333  0.000 x4
Ho  0.000  0.167  0.500 x4
Er  0.246  0.500  0.252 x4
Er  0.249  0.335  0.748 x8
Th  0.000  0.500  0.500 x2

Computed properties:
As for the density of states at the Fermi level: 16.55 states/eV/f.u. The formation energy is 0.3 eV/f.u.

No. 7
Below is InCo2Cu after structural relaxation, with properties calculated at the PBE level.

abc: 4.578 5.154 5.248
angles: 62.61 88.68 87.49
Space group P1 (No. 1)
One atom of each set of equivalent atoms:
In  0.000  0.000  0.000 x1
In  0.343  0.309  0.231 x1
Co  0.001  0.519  0.527 x1
Co  0.511  0.296  0.724 x1
Co  0.831  0.541  0.942 x1
Co  0.840  0.042  0.496 x1
Cu  0.349  0.790  0.716 x1
Cu  0.518  0.774  0.265 x1

Computed properties:
As for the density of states at the Fermi level: 4.37 states/eV/f.u. The formation energy is 0.8 eV/f.u.

No. 8
Below is PSeCl after structural relaxation, with properties calculated at the PBE level.

abc: 6.485 6.485 6.485
angles: 90.00 90.00 90.00
Space group F-43m (No. 216)
One atom of each set of equivalent atoms:
P  0.000  0.000  0.000 x4
Se  0.250  0.250  0.250 x4
Cl  0.000  0.000  0.500 x4

Computed properties:
As for the density of states at the Fermi level: 2.32 states/eV/f.u. The formation energy without anion corrections is 671 meV per atom.

No. 9
Below is KYHf after structural relaxation, with properties calculated at the PBE level.

abc: 4.702 4.931 9.306
angles: 90.00 104.58 90.00
Space group Pm (No. 6)
One atom of each set of equivalent atoms:
K  0.000  0.000  0.000 x1
K  0.499  0.500  0.999 x1
Y  0.183  0.500  0.366 x1
Y  0.815  0.500  0.632 x1
Hf  0.299  0.000  0.600 x1
Hf  0.699  0.000  0.399 x1

Computed properties:
As for the density of states at the Fermi level: 3.00 states/eV/f.u. The energy relative to the lowest polymorph listed for this composition is 13.7 kJ/mol of atoms. The formation energy is 1.4 eV/f.u.

No. 10
Below is Tc2NiRu after structural relaxation, with properties calculated at the PBE level.

abc: 2.683 2.683 7.563
angles: 90.00 90.00 90.00
Space group P4mm (No. 99)
One atom of each set of equivalent atoms:
Tc  0.000  0.000  0.000 x1
Tc  0.500  0.500  0.273 x1
Ni  0.000  0.000  0.509 x1
Ru  0.500  0.500  0.756 x1

Computed properties:
As for the density of states at the Fermi level: 5.06 states/eV/f.u. The energy relative to the lowest polymorph listed for this composition is 12.8 kJ/mol of atoms. The formation energy is 0.3 eV/f.u.

No. 11
Below is Ce2Ge3Pd2 after structural relaxation, with properties calculated at the PBE level.

abc: 10.061 4.375 6.700
angles: 90.00 106.80 90.00
Space group C2/m (No. 12)
One atom of each set of equivalent atoms:
Ce  0.154  0.000  0.284 x4
Ge  0.000  0.500  0.500 x2
Ge  0.107  0.500  0.944 x4
Pd  0.144  0.000  0.762 x4

Computed properties:
As for the density of states at the Fermi level: 9.30 states/eV/f.u. The energy relative to the lowest polymorph listed for this composition is 11.3 kJ/mol of atoms. The formation energy is -4.9 eV/f.u.

No. 12
Below is BaScTi2 after structural relaxation, with properties calculated at the PBE level.

abc: 7.461 7.461 7.461
angles: 90.00 90.00 90.00
Space group Fm-3m (No. 225)
One atom of each set of equivalent atoms:
Ba  0.000  0.000  0.000 x4
Sc  0.000  0.000  0.500 x4
Ti  0.250  0.250  0.250 x8

Computed properties:
As for the density of states at the Fermi level: 3.55 states/eV/f.u. The energy relative to the lowest polymorph listed for this composition is 0.0 kJ/mol of atoms. The formation energy is 3.1 eV/f.u.

No. 13
Below is TbMg2Ga2Cu after structural relaxation, with properties calculated at the PBE level.

abc: 5.188 5.188 10.604
angles: 90.00 90.00 90.00
Space group I4/mmm (No. 139)
One atom of each set of equivalent atoms:
Tb  0.000  0.000  0.000 x2
Mg  0.000  0.500  0.250 x4
Ga  0.000  0.000  0.284 x4
Cu  0.000  0.000  0.500 x2

Computed properties:
As for the density of states at the Fermi level: 4.38 states/eV/f.u. The formation energy is 0.9 eV/f.u.

No. 14
Below is Ce6IrRu2Cl3 after structural relaxation, with properties calculated at the PBE level.

abc: 6.957 12.050 7.760
angles: 90.00 107.38 90.00
Space group C2/m (No. 12)
One atom of each set of equivalent atoms:
Ce  0.232  0.000  0.208 x4
Ce  0.238  0.331  0.207 x8
Ir  0.000  0.500  0.000 x2
Ru  0.000  0.167  0.000 x4
Cl  0.000  0.000  0.500 x2
Cl  0.000  0.332  0.500 x4

Computed properties:
As for the density of states at the Fermi level: 31.52 states/eV/f.u. The formation energy without anion corrections is -996 meV per atom.

No. 15
Below is Ti4CN after structural relaxation, with properties calculated at the PBE level.

abc: 4.859 3.008 5.290
angles: 90.00 92.99 90.00
Space group P2/m (No. 10)
One atom of each set of equivalent atoms:
Ti  0.240  0.000  0.347 x2
Ti  0.243  0.500  0.842 x2
C  0.000  0.000  0.000 x1
N  0.000  0.500  0.500 x1

Computed properties:
As for the density of states at the Fermi level: 5.11 states/eV/f.u. The energy relative to the lowest polymorph listed for this composition is 4.9 kJ/mol of atoms. The formation energy without anion corrections is -938 meV per atom.

No. 16
Below is Ba2MoAu after structural relaxation, with properties calculated at the PBE level.

abc: 3.961 3.961 8.215
angles: 90.00 90.00 90.00
Space group P4/mmm (No. 123)
One atom of each set of equivalent atoms:
Ba  0.000  0.000  0.245 x2
Mo  0.500  0.500  0.500 x1
Au  0.500  0.500  0.000 x1

Computed properties:
As for the density of states at the Fermi level: 1.95 states/eV/f.u. The energy relative to the lowest polymorph listed for this composition is 9.9 kJ/mol of atoms. The formation energy is 1.9 eV/f.u.

No. 17
Below is TlInCu2Pb after structural relaxation, with properties calculated at the PBE level.

abc: 4.924 4.924 5.740
angles: 90.00 90.00 90.00
Space group P4/mmm (No. 123)
One atom of each set of equivalent atoms:
Tl  0.000  0.000  0.000 x1
In  0.000  0.000  0.500 x1
Cu  0.000  0.500  0.500 x2
Pb  0.500  0.500  0.000 x1

Computed properties:
As for the density of states at the Fermi level: 1.91 states/eV/f.u. The formation energy is 3.0 eV/f.u.

No. 18
Below is ThInAs after structural relaxation, with properties calculated at the PBE level.

abc: 5.0670 5.0670 23.1158
angles: 90.00 90.00 120.00
Space group R-3m (No. 166, hexagonal axes)
One atom of each set of equivalent atoms:
Th  0.0000  0.0000  0.0913 x6
In  0.0000  0.0000  0.3428 x6
As  0.0000  0.0000  0.2183 x6

Computed properties:
As for the density of states at the Fermi level: 1.44 states/eV/f.u. The formation energy is -1.9 eV/f.u.

No. 19
Below is Li15Cd4Rh after structural relaxation, with properties calculated at the PBE level.

abc: 4.665 4.665 15.990
angles: 90.00 90.00 90.00
Space group P4/mmm (No. 123)
One atom of each set of equivalent atoms:
Li  0.000  0.000  0.000 x1
Li  0.000  0.000  0.189 x2
Li  0.000  0.000  0.395 x2
Li  0.000  0.500  0.084 x4
Li  0.000  0.500  0.293 x4
Li  0.000  0.500  0.500 x2
Cd  0.500  0.500  0.182 x2
Cd  0.500  0.500  0.395 x2
Rh  0.500  0.500  0.000 x1

Computed properties:
As for the density of states at the Fermi level: 8.49 states/eV/f.u. The formation energy is -2.7 eV/f.u.

No. 20
Below is CoOsSe2 after structural relaxation, with properties calculated at the PBE level.

abc: 2.917 4.967 9.810
angles: 90.00 90.00 90.00
Space group Cmm2 (No. 35)
One atom of each set of equivalent atoms:
Co  0.000  0.000  0.000 x2
Os  0.000  0.500  0.211 x2
Se  0.000  0.000  0.423 x2
Se  0.000  0.500  0.804 x2

Computed properties:
As for the density of states at the Fermi level: 5.18 states/eV/f.u. The energy relative to the lowest polymorph listed for this composition is 57.5 kJ/mol of atoms. The formation energy without anion corrections is 544 meV per atom.

No. 21
Below is TiAlBi2O6 after structural relaxation, with properties calculated at the PBE level.

abc: 5.450 5.459 9.515
angles: 90.00 123.66 90.00
Space group P2_1/c (No. 14)
One atom of each set of equivalent atoms:
Ti  0.000  0.000  0.000 x2
Al  0.500  0.000  0.500 x2
Bi  0.262  0.024  0.751 x4
O  0.192  0.195  0.487 x4
O  0.296  0.704  0.489 x4
O  0.298  0.011  0.255 x4

Computed properties:
As for the density of states at the Fermi level: 3.06 states/eV/f.u. The formation energy without anion corrections is -2020 meV per atom.

No. 22
Below is Sn3TeAsSe after structural relaxation, with properties calculated at the PBE level.

abc: 7.312 4.195 11.451
angles: 90.00 101.69 90.00
Space group P2_1/m (No. 11)
One atom of each set of equivalent atoms:
Sn  0.035  0.250  0.143 x2
Sn  0.255  0.250  0.505 x2
Sn  0.455  0.750  0.848 x2
Te  0.346  0.750  0.293 x2
As  0.232  0.250  0.946 x2
Se  0.128  0.750  0.636 x2

Computed properties:
As for the density of states at the Fermi level: 2.57 states/eV/f.u. The formation energy without anion corrections is -208 meV per atom.

No. 23
Below is Li3Gd after structural relaxation, with properties calculated at the PBE level.

abc: 6.5147 6.5147 5.1756
angles: 90.00 90.00 120.00
Space group P6_3/mmc (No. 194)
One atom of each set of equivalent atoms:
Li  0.1529  0.3058  0.2500 x6
Gd  0.3333  0.6667  0.7500 x2

Computed properties:
As for the density of states at the Fermi level: 6.15 states/eV/f.u. The energy relative to the lowest polymorph listed for this composition is 3.8 kJ/mol of atoms. The formation energy is 0.7 eV/f.u.

Going through the records in order, we get magnetic moment values of 0.000; 0.000; 4.896; 0.076; 1.989; 0.000; 5.825; 0.000; 0.000; 0.000; 0.864; 20.007; 0.000; 9.133; 0.000; 2.916; 0.000; 0.000; 0.000; 4.704; 0.565; 0.000; 17.277 μB per cell.
Going through the records in order, we get theoretical density values of 6.8; 13.5; 5.1; 8.2; 3.0; 8.1; 9.0; 3.5; 4.9; 10.9; 8.4; 4.4; 4.8; 7.2; 4.7; 7.3; 7.8; 8.2; 3.1; 9.5; 8.3; 6.2; 3.1 g/cm3.
Going through the records in order, we get total DFT energy (no corrections) values of -3.788; -8.099; -2.954; -5.215; -2.525; -5.252; -5.066; -2.909; -5.384; -8.863; -5.854; -5.245; -2.847; -6.709; -9.126; -4.026; -2.792; -5.573; -2.122; -5.783; -6.935; -4.089; -4.770 eV/atom.